(1)
# PBE K6Rb8Na, optimized geometry
data_K6Rb8Na
_space_group_name_H-M_alt 'P 1'
_space_group_IT_number 1
_space_group_name_Hall 'P 1'
_cell_length_a 11.053
_cell_length_b 11.053
_cell_length_c 11.053
_cell_angle_alpha 73.59
_cell_angle_beta 73.59
_cell_angle_gamma 73.59
loop_
_atom_site_label
_atom_site_fract_x
_atom_site_fract_y
_atom_site_fract_z
K1 0.033 0.648 0.299
K2 0.299 0.033 0.648
K3 0.352 0.701 0.967
K4 0.648 0.299 0.033
K5 0.701 0.967 0.352
K6 0.967 0.352 0.701
Rb1 0.063 0.759 0.663
Rb2 0.241 0.337 0.937
Rb3 0.337 0.937 0.241
Rb4 0.404 0.404 0.404
Rb5 0.596 0.596 0.596
Rb6 0.663 0.063 0.759
Rb7 0.759 0.663 0.063
Rb8 0.937 0.241 0.337
Na1 0.000 0.000 0.000
# DOS(E_F)   12.26 states/eV per cell
# Energy relative to the elements   0.0331 eV per atom
# V   80.81 Å³ per atom

(2)
# PBE Ce2LuAu, optimized geometry
data_Ce2LuAu
_space_group_name_H-M_alt 'P 1'
_space_group_IT_number 1
_space_group_name_Hall 'P 1'
_cell_length_a 3.907
_cell_length_b 3.907
_cell_length_c 7.212
_cell_angle_alpha 90.00
_cell_angle_beta 90.00
_cell_angle_gamma 90.00
loop_
_atom_site_label
_atom_site_fract_x
_atom_site_fract_y
_atom_site_fract_z
Ce1 0.000 0.000 0.208
Ce2 0.000 0.000 0.792
Lu1 0.500 0.500 0.500
Au1 0.500 0.500 0.000
# ΔE to the lowest computed polymorph   0.092 eV per atom
# DOS(E_F)   12.27 states/eV per cell
# Energy relative to the elements   -0.1945 eV per atom
# V   27.52 Å³ per atom

(3)
# PBE BaSc, optimized geometry
data_BaSc
_space_group_name_H-M_alt 'P 1'
_space_group_IT_number 1
_space_group_name_Hall 'P 1'
_cell_length_a 5.986
_cell_length_b 5.986
_cell_length_c 5.986
_cell_angle_alpha 60.00
_cell_angle_beta 60.00
_cell_angle_gamma 60.00
loop_
_atom_site_label
_atom_site_fract_x
_atom_site_fract_y
_atom_site_fract_z
Ba1 0.125 0.125 0.125
Ba2 0.875 0.875 0.875
Sc1 0.375 0.375 0.375
Sc2 0.625 0.625 0.625
# ΔE to the lowest computed polymorph   0.197 eV per atom
# DOS(E_F)   5.88 states/eV per cell
# Energy relative to the elements   0.4323 eV per atom
# V   37.91 Å³ per atom

(4)
# PBE Li3Zn5Ga2, optimized geometry
data_Li3Zn5Ga2
_space_group_name_H-M_alt 'P 1'
_space_group_IT_number 1
_space_group_name_Hall 'P 1'
_cell_length_a 8.746
_cell_length_b 8.746
_cell_length_c 8.746
_cell_angle_alpha 111.73
_cell_angle_beta 77.93
_cell_angle_gamma 147.03
loop_
_atom_site_label
_atom_site_fract_x
_atom_site_fract_y
_atom_site_fract_z
Li1 0.169 0.725 0.894
Li2 0.250 0.250 0.000
Li3 0.331 0.225 0.556
Li4 0.669 0.775 0.444
Li5 0.750 0.750 0.000
Li6 0.831 0.275 0.106
Zn1 0.069 0.250 0.819
Zn2 0.162 0.432 0.595
Zn3 0.250 0.750 0.500
Zn4 0.338 0.932 0.270
Zn5 0.431 0.250 0.181
Zn6 0.569 0.750 0.819
Zn7 0.662 0.068 0.730
Zn8 0.750 0.250 0.500
Zn9 0.838 0.568 0.405
Zn10 0.931 0.750 0.181
Ga1 0.061 0.219 0.279
Ga2 0.439 0.719 0.158
Ga3 0.561 0.281 0.842
Ga4 0.939 0.781 0.721
# DOS(E_F)   5.46 states/eV per cell
# Energy relative to the elements   -0.1072 eV per atom
# V   16.57 Å³ per atom